Computed, not measured: an optimized crystal structure of Dy7Bi2Pd2 at the PBE level of DFT.

Cell lengths 7.005, 7.005, 7.010 Å; angles 90.00, 90.00, 102.89 degrees
Element x y z (fractional)
1 Dy 0.000 0.000 0.000
2 Dy 0.000 0.500 0.249
3 Dy 0.000 0.500 0.751
4 Dy 0.500 0.000 0.249
5 Dy 0.500 0.000 0.751
6 Dy 0.500 0.500 0.237
7 Dy 0.500 0.500 0.763
8 Bi 0.194 0.194 0.500
9 Bi 0.806 0.806 0.500
10 Pd 0.279 0.721 0.000
11 Pd 0.721 0.279 0.000

Output
DFT formation energy ... -432 meV/atom

Computed, not measured: an optimized crystal structure of Sc2UBe2Ru5 at the PBE level of DFT.

Cell lengths 9.502, 9.502, 3.283 Å; angles 90.00, 90.00, 90.00 degrees
Element x y z (fractional)
1 Sc 0.168 0.332 0.000
2 Sc 0.332 0.832 0.000
3 Sc 0.668 0.168 0.000
4 Sc 0.832 0.668 0.000
5 U 0.000 0.000 0.000
6 U 0.500 0.500 0.000
7 Be 0.121 0.621 0.000
8 Be 0.379 0.121 0.000
9 Be 0.621 0.879 0.000
10 Be 0.879 0.379 0.000
11 Ru 0.000 0.500 0.500
12 Ru 0.074 0.792 0.500
13 Ru 0.208 0.074 0.500
14 Ru 0.292 0.574 0.500
15 Ru 0.426 0.292 0.500
16 Ru 0.500 0.000 0.500
17 Ru 0.574 0.708 0.500
18 Ru 0.708 0.426 0.500
19 Ru 0.792 0.926 0.500
20 Ru 0.926 0.208 0.500

Output
DFT formation energy ... -501 meV/atom

Computed, not measured: an optimized crystal structure of DyTm2Sn9 at the PBE level of DFT.

Cell lengths 4.780, 4.780, 13.635 Å; angles 90.00, 90.00, 90.00 degrees
Element x y z (fractional)
1 Dy 0.000 0.000 0.000
2 Tm 0.000 0.000 0.333
3 Tm 0.000 0.000 0.667
4 Sn 0.000 0.500 0.168
5 Sn 0.000 0.500 0.500
6 Sn 0.000 0.500 0.832
7 Sn 0.500 0.000 0.168
8 Sn 0.500 0.000 0.500
9 Sn 0.500 0.000 0.832
10 Sn 0.500 0.500 0.000
11 Sn 0.500 0.500 0.334
12 Sn 0.500 0.500 0.666

Output
DFT formation energy ... -386 meV/atom

Computed, not measured: an optimized crystal structure of KHg3Pt at the PBE level of DFT.

Cell lengths 5.366, 5.366, 5.366 Å; angles 90.00, 90.00, 90.00 degrees
Element x y z (fractional)
1 K 0.000 0.000 0.000
2 Hg 0.000 0.500 0.500
3 Hg 0.500 0.000 0.500
4 Hg 0.500 0.500 0.000
5 Pt 0.500 0.500 0.500

Output
DFT formation energy ... -269 meV/atom

Computed, not measured: an optimized crystal structure of BaNa2Cd4 at the PBE level of DFT.

Cell lengths 6.485, 6.485, 5.976 Å; angles 116.87, 116.87, 78.13 degrees
Element x y z (fractional)
1 Ba 0.000 0.000 0.000
2 Na 0.498 0.498 0.248
3 Na 0.502 0.502 0.752
4 Cd 0.000 0.373 0.686
5 Cd 0.000 0.627 0.314
6 Cd 0.373 0.000 0.686
7 Cd 0.627 0.000 0.314

Output
DFT formation energy ... -213 meV/atom

Computed, not measured: an optimized crystal structure of K3BaPCO7 at the PBE level of DFT.

Cell lengths 5.767, 7.791, 10.170 Å; angles 90.00, 90.55, 90.00 degrees
Element x y z (fractional)
1 K 0.246 0.250 0.410
2 K 0.252 0.003 0.741
3 K 0.252 0.497 0.741
4 K 0.748 0.503 0.259
5 K 0.748 0.997 0.259
6 K 0.754 0.750 0.590
7 Ba 0.224 0.750 0.099
8 Ba 0.776 0.250 0.901
9 P 0.284 0.250 0.092
10 P 0.716 0.750 0.908
11 C 0.246 0.750 0.426
12 C 0.754 0.250 0.574
13 O 0.044 0.750 0.367
14 O 0.166 0.087 0.152
15 O 0.166 0.413 0.152
16 O 0.259 0.250 0.938
17 O 0.260 0.750 0.553
18 O 0.435 0.750 0.355
19 O 0.452 0.750 0.873
20 O 0.548 0.250 0.127
21 O 0.565 0.250 0.645
22 O 0.740 0.250 0.447
23 O 0.741 0.750 0.062
24 O 0.834 0.587 0.848
25 O 0.834 0.913 0.848
26 O 0.956 0.250 0.633

Output
Raw formation energy ... -51.3 kcal/mol of atoms